# DyNpSn2

A relaxed DyNpSn2 crystal (PBE, Alexandria).

Cell and atoms, written as POSCAR:
```
DyNpSn2
1.0
-0.459 3.306 2.139
-3.934 -0.475 -0.109
0.280 -3.612 5.643
Dy Sn Np
1 2 1
Direct
0.500 0.500 0.000
0.000 0.000 0.242
0.000 0.000 0.758
0.500 0.500 0.500
```

Output
offset from the most stable computed form = 7 meV per atom
DFT formation energy = -0.25 eV/atom
magnetic moment = 4.742 μB/f.u.
symmetry = P4/mmm
V = 26.35 A^3/atom